The following is a DFT calculation (GGA+U) of a geometry-optimized K3Co2AgF9 structure.

Lattice parameters (Å, degrees): 5.9378 5.9378 7.3364 90.00 90.00 120.00
Space group P-3m1 (No. 164)
Asymmetric unit:
K1 0.0000 0.0000 0.0000 [1 per cell]
K2 0.3333 0.6667 0.6648 [2 per cell]
Co1 0.3333 0.6667 0.1559 [2 per cell]
Ag1 0.0000 0.0000 0.5000 [1 per cell]
F1 0.0000 0.5000 0.0000 [3 per cell]
F2 0.1757 0.3514 0.3150 [6 per cell]

DFT total energy ... -4.457 eV/atom
Mass density ... 3.81 g cm⁻³
Total moment ... 0.3257 μB per atom